Record 1
! PBE-GGA Tb6DyTl4, relaxed; values from VASP
&SYSTEM
  ibrav = 0, nat = 11, ntyp = 3
/
ATOMIC_SPECIES
Tl 204.38 Tl.upf
Tb 158.93 Tb.upf
Dy 162.50 Dy.upf
CELL_PARAMETERS angstrom
-5.9060 2.1819 -5.0715
-0.0427 -7.0657 3.9289
0.9239 3.3672 7.2918
ATOMIC_POSITIONS crystal
Tl 0.6511 0.3981 0.3981
Tl 0.3489 0.7470 0.7470
Tl 0.0000 0.6019 0.2530
Tl 0.0000 0.2530 0.6019
Tb 0.0000 0.5241 0.8975
Tb 0.6266 0.1025 0.1025
Tb 0.5000 0.5000 0.0000
Tb 0.3734 0.4759 0.4759
Tb 0.5000 0.0000 0.5000
Tb 0.0000 0.8975 0.5241
Dy 0.0000 0.0000 0.0000
! - Calculated formation energy: -0.3 eV/f.u.
! - VASP energy: -42.11 eV for the cell shown
! - Space group: I-42m

Record 2
! PBE-GGA Sc2SnTe, relaxed; values from VASP
&SYSTEM
  ibrav = 0, nat = 4, ntyp = 3
/
ATOMIC_SPECIES
Sc 44.96 Sc.upf
Sn 118.71 Sn.upf
Te 127.60 Te.upf
CELL_PARAMETERS angstrom
6.2623 7.1410 1.7129
8.4693 4.0808 2.1824
7.8497 5.4609 -1.3058
ATOMIC_POSITIONS crystal
Sc 0.1016 0.1016 0.1016
Sc 0.8984 0.8984 0.8984
Sn 0.0000 0.0000 0.0000
Te 0.5000 0.5000 0.5000
! - ΔE_f (raw): -0.338 eV per atom
! - Offset from the most stable computed form: 51.9 kJ per mole of atoms
! - VASP energy: -21.16 eV for the cell shown
! - Space group: R-3m

Record 3
! PBE-GGA Li2Nd3Tl4, relaxed; values from VASP
&SYSTEM
  ibrav = 0, nat = 18, ntyp = 3
/
ATOMIC_SPECIES
Tl 204.38 Tl.upf
Li 6.94 Li.upf
Nd 144.24 Nd.upf
CELL_PARAMETERS angstrom
8.4831 0.2759 0.1976
1.0711 7.5303 -1.3285
1.0711 1.1687 7.5567
ATOMIC_POSITIONS crystal
Tl 0.6121 0.3958 0.2510
Tl 0.1121 0.2510 0.3958
Tl 0.5407 0.0031 0.6973
Tl 0.0407 0.6973 0.0031
Tl 0.3879 0.6042 0.7490
Tl 0.4593 0.9969 0.3027
Tl 0.8879 0.7490 0.6042
Tl 0.9593 0.3027 0.9969
Li 0.4006 0.2987 0.5279
Li 0.9006 0.5279 0.2987
Li 0.0994 0.4721 0.7013
Li 0.5994 0.7013 0.4721
Nd 0.6469 0.7198 0.9842
Nd 0.2500 0.6758 0.3242
Nd 0.8531 0.0158 0.2802
Nd 0.3531 0.2802 0.0158
Nd 0.7500 0.3242 0.6758
Nd 0.1469 0.9842 0.7198
! - Calculated formation energy: -2.3 eV/f.u.
! - Offset from the most stable computed form: 7.6 kJ per mole of atoms
! - VASP energy: -59.79 eV for the cell shown
! - Space group: C2/c